1.
The following is a PBE calculation of a geometry-optimized Sm2AlPtO6 structure, from Alexandria.

Cell lengths 5.323, 8.236, 5.722 Å; angles 90.00, 90.00, 90.00 degrees
Fractional positions:
Sm (0.250, 0.039, 0.205)
Sm (0.250, 0.461, 0.205)
Sm (0.750, 0.539, 0.795)
Sm (0.750, 0.961, 0.795)
Al (0.250, 0.750, 0.779)
Al (0.750, 0.250, 0.221)
Pt (0.250, 0.250, 0.706)
Pt (0.750, 0.750, 0.294)
O (0.009, 0.250, 0.982)
O (0.017, 0.250, 0.425)
O (0.250, 0.523, 0.806)
O (0.250, 0.977, 0.806)
O (0.483, 0.250, 0.425)
O (0.491, 0.250, 0.982)
O (0.509, 0.750, 0.018)
O (0.517, 0.750, 0.575)
O (0.750, 0.023, 0.194)
O (0.750, 0.477, 0.194)
O (0.983, 0.750, 0.575)
O (0.991, 0.750, 0.018)

Computed properties:
DOS at the Fermi energy ... 0.124 states/eV per atom
ρ ... 8.19 Mg/m³
Formation energy without anion corrections ... -2310 meV per atom
Calculated total energy ... -7.2075 eV/atom
Size of the total moment ... 0.096 μB/atom

2.
The following is a PBE calculation of a geometry-optimized Sr2AlPtO6 structure, from Alexandria.

Cell lengths 9.937, 9.937, 9.937 Å; angles 32.61, 32.61, 32.61 degrees
Fractional positions:
Sr (0.126, 0.126, 0.126)
Sr (0.285, 0.285, 0.285)
Sr (0.715, 0.715, 0.715)
Sr (0.874, 0.874, 0.874)
Al (0.000, 0.000, 0.000)
Al (0.500, 0.500, 0.500)
Pt (0.410, 0.410, 0.410)
Pt (0.590, 0.590, 0.590)
O (0.145, 0.613, 0.613)
O (0.198, 0.198, 0.719)
O (0.198, 0.719, 0.198)
O (0.281, 0.802, 0.802)
O (0.387, 0.387, 0.855)
O (0.387, 0.855, 0.387)
O (0.613, 0.145, 0.613)
O (0.613, 0.613, 0.145)
O (0.719, 0.198, 0.198)
O (0.802, 0.281, 0.802)
O (0.802, 0.802, 0.281)
O (0.855, 0.387, 0.387)

Computed properties:
DOS at the Fermi energy ... 0.477 states/eV per atom
ρ ... 6.46 Mg/m³
Formation energy without anion corrections ... -2061 meV per atom
Calculated total energy ... -6.3507 eV/atom
Size of the total moment ... 0.000 μB/atom

3.
The following is a PBE calculation of a geometry-optimized SrAlPt2O structure, from Alexandria.

Cell lengths 4.529, 4.529, 4.571 Å; angles 90.00, 90.00, 90.00 degrees
Fractional positions:
Sr (0.000, 0.000, 0.000)
Al (0.500, 0.500, 0.000)
Pt (0.000, 0.500, 0.500)
Pt (0.500, 0.000, 0.500)
O (0.000, 0.000, 0.500)

Computed properties:
DOS at the Fermi energy ... 0.654 states/eV per atom
ρ ... 9.22 Mg/m³
Formation energy without anion corrections ... -261 meV per atom
Calculated total energy ... -4.7539 eV/atom
Size of the total moment ... 0.000 μB/atom

4.
The following is a PBE calculation of a geometry-optimized SrAlPtO4 structure, from Alexandria.

Cell lengths 5.587, 5.587, 6.967 Å; angles 90.00, 90.00, 111.36 degrees
Fractional positions:
Sr (0.000, 0.000, 0.000)
Sr (0.000, 0.000, 0.500)
Al (0.381, 0.619, 0.750)
Al (0.619, 0.381, 0.250)
Pt (0.309, 0.691, 0.250)
Pt (0.691, 0.309, 0.750)
O (0.277, 0.723, 0.534)
O (0.277, 0.723, 0.966)
O (0.278, 0.287, 0.250)
O (0.287, 0.278, 0.750)
O (0.713, 0.722, 0.250)
O (0.722, 0.713, 0.750)
O (0.723, 0.277, 0.034)
O (0.723, 0.277, 0.466)

Computed properties:
DOS at the Fermi energy ... 0.614 states/eV per atom
ρ ... 6.13 Mg/m³
Formation energy without anion corrections ... -1738 meV per atom
Calculated total energy ... -6.2092 eV/atom
Size of the total moment ... 0.180 μB/atom